[1]
KAgN: relaxed, PBE.

Lattice parameters (Å, degrees): 8.4776 8.4936 3.9253 90.00 90.00 90.00
Last column: nearest neighbours and their distance in Å.
Space group Cmmm (No. 65)
One atom of each set of equivalent atoms:
K1 0.2499 0.0000 0.0000  4 N 3.00
Ag1 0.0000 0.2505 0.5000  2 N 1.96
N1 0.0000 0.2501 0.0000  2 Ag 1.96

Computed properties:
* uncorrected formation energy: 0.554 eV/atom
* spin magnetization: 0.3 μB per formula unit
* electronic total energy: -42.45 eV per cell

=====

[2]
BaZn: relaxed, PBE.

Lattice parameters (Å, degrees): 6.6368 6.6368 6.6368 90.00 90.00 90.00
Last column: nearest neighbours and their distance in Å.
Space group P2_13 (No. 198)
One atom of each set of equivalent atoms:
Ba1 0.0723 0.4277 0.5723  6 Zn 3.38-3.61
Zn1 0.0905 0.9095 0.4095  6 Ba 3.38-3.61

Computed properties:
* spin magnetization: 0.0 μB per formula unit
* electronic total energy: -13.12 eV per cell

=====

[3]
CaEr2In: relaxed, PBE.

Lattice parameters (Å, degrees): 7.7796 7.7796 7.7796 90.00 90.00 90.00
Last column: nearest neighbours and their distance in Å.
Space group F-43m (No. 216)
One atom of each set of equivalent atoms:
Ca1 0.0000 0.0000 0.0000  4 In 3.37, 4 Er 3.37
Er1 0.0000 0.0000 0.5000  4 Er 3.37, 4 In 3.37
Er2 0.2500 0.2500 0.7500  4 Er 3.37, 4 Ca 3.37
In1 0.2500 0.2500 0.2500  4 Er 3.37, 4 Ca 3.37

Computed properties:
* spin magnetization: 0.0 μB per formula unit
* energy relative to the lowest polymorph listed for this composition: 0.1183 eV per atom
* electronic total energy: -56.64 eV per cell

=====

[4]
TaHgH2: relaxed, PBE.

Lattice parameters (Å, degrees): 5.6778 5.6778 5.6778 90.00 90.00 90.00
Last column: nearest neighbours and their distance in Å.
Space group Fm-3m (No. 225)
One atom of each set of equivalent atoms:
Ta1 0.0000 0.0000 0.0000  8 H 2.46
Hg1 0.0000 0.0000 0.5000  8 H 2.46
H1 0.2500 0.2500 0.2500  4 Hg 2.46, 4 Ta 2.46

Computed properties:
* spin magnetization: 0.0 μB per formula unit
* energy relative to the lowest polymorph listed for this composition: 0.5528 eV per atom
* electronic total energy: -60.52 eV per cell

=====

[5]
TmBeSi2Ni: relaxed, PBE.

Lattice parameters (Å, degrees): 3.8357 3.8357 9.7513 90.00 90.00 90.00
Last column: nearest neighbours and their distance in Å.
Space group I-4m2 (No. 119)
One atom of each set of equivalent atoms:
Tm1 0.0000 0.0000 0.0000  8 Si 2.96, 4 Be 3.10, 4 Ni 3.10
Be1 0.0000 0.5000 0.2500  4 Si 2.29
Si1 0.0000 0.0000 0.3780  2 Ni 2.29, 2 Be 2.29, 1 Si 2.38
Ni1 0.0000 0.5000 0.7500  4 Si 2.29

Computed properties:
* uncorrected formation energy: -0.689 eV/atom
* spin magnetization: 0.0 μB per formula unit
* electronic total energy: -56.54 eV per cell

=====

[6]
Pm12PrNd6: relaxed, PBE.

Lattice parameters (Å, degrees): 12.2957 12.2957 15.3510 90.00 90.00 120.00
Last column: nearest neighbours and their distance in Å.
Space group R-3 (No. 148, hexagonal axes)
One atom of each set of equivalent atoms:
Pm1 0.0057 0.1742 0.1910  4 Pm 3.49-3.67, 4 Nd 3.58-3.75, 1 Pr 3.61
Pm2 0.0470 0.1947 0.4168  6 Pm 3.35-3.75, 3 Nd 3.43-3.50
Pr1 0.0000 0.0000 0.0000  6 Nd 3.59, 6 Pm 3.61
Nd1 0.0114 0.5892 0.6838  7 Pm 3.43-3.75, 1 Pr 3.59, 2 Nd 3.62

Computed properties:
* spin magnetization: 0.0 μB per formula unit
* energy relative to the lowest polymorph listed for this composition: 0.1191 eV per atom
* electronic total energy: -263.69 eV per cell

=====

[7]
BaAgW: relaxed, PBE.

Lattice parameters (Å, degrees): 3.0639 3.0639 14.9150 90.00 90.00 90.00
Last column: nearest neighbours and their distance in Å.
Space group I4mm (No. 107)
One atom of each set of equivalent atoms:
Ba1 0.0000 0.0000 0.0000  4 Ba 3.06
Ag1 0.0000 0.0000 0.6910  4 W 2.84, 4 Ag 3.06
W1 0.0000 0.0000 0.3144  4 Ag 2.84, 4 W 3.06

Computed properties:
* spin magnetization: 0.0 μB per formula unit
* energy relative to the lowest polymorph listed for this composition: 0.0000 eV per atom
* electronic total energy: -29.34 eV per cell

=====

[8]
Ba2SnPb6: relaxed, PBE.

Lattice parameters (Å, degrees): 13.1645 7.5866 7.9065 90.00 123.81 90.00
Last column: nearest neighbours and their distance in Å.
Space group C2/m (No. 12)
One atom of each set of equivalent atoms:
Ba1 0.2437 0.0000 0.2318  12 Pb 3.82-3.98
Sn1 0.0000 0.5000 0.0000  6 Pb 3.12
Pb1 0.0057 0.2222 0.2955  1 Sn 3.12, 4 Pb 3.32-3.37
Pb2 0.2161 0.0000 0.7049  1 Sn 3.12, 4 Pb 3.32-3.37

Computed properties:
* spin magnetization: 0.0 μB per formula unit
* electronic total energy: -64.97 eV per cell

=====

[9]
ZnHgBi2: relaxed, PBE.

Lattice parameters (Å, degrees): 5.4842 5.4842 17.3685 90.00 90.00 90.00
Last column: nearest neighbours and their distance in Å.
Space group I-42d (No. 122)
One atom of each set of equivalent atoms:
Zn1 0.0000 0.0000 0.0000  4 Bi 2.80
Hg1 0.0000 0.0000 0.5000  4 Bi 3.03
Bi1 0.2052 0.2500 0.1250  2 Zn 2.80, 2 Hg 3.03

Computed properties:
* spin magnetization: 0.0 μB per formula unit
* energy relative to the lowest polymorph listed for this composition: 0.0908 eV per atom
* electronic total energy: -34.00 eV per cell

=====

[10]
LiZrAs: relaxed, PBE.

Lattice parameters (Å, degrees): 3.1184 3.1184 7.1207 90.00 90.00 120.00
Last column: nearest neighbours and their distance in Å.
Space group P3m1 (No. 156)
One atom of each set of equivalent atoms:
Li1 0.0000 0.0000 0.0000  3 As 2.77
Zr1 0.6667 0.3333 0.3927  3 As 2.86, 6 Zr 3.12
As1 0.3333 0.6667 0.7044  3 Li 2.77, 3 Zr 2.86

Computed properties:
* spin magnetization: 0.1 μB per formula unit
* energy relative to the lowest polymorph listed for this composition: 0.7018 eV per atom
* electronic total energy: -15.70 eV per cell

=====

[11]
TaTeBr3: relaxed, PBE.

Lattice parameters (Å, degrees): 7.2996 7.5000 6.2763 90.00 90.00 90.00
Last column: nearest neighbours and their distance in Å.
Space group Pmn2_1 (No. 31)
One atom of each set of equivalent atoms:
Ta1 0.0000 0.0127 0.0000  1 Te 2.53, 5 Br 2.58-2.70
Te1 0.0000 0.3069 0.1970  1 Ta 2.53
Br1 0.0000 0.7225 0.7783  1 Ta 2.58
Br2 0.2465 0.1468 0.7215  2 Ta 2.61-2.70

Computed properties:
* uncorrected formation energy: -0.510 eV/atom
* spin magnetization: 0.0 μB per formula unit
* electronic total energy: -45.13 eV per cell

=====

[12]
LaY5Ag4: relaxed, PBE.

Lattice parameters (Å, degrees): 3.6181 3.6181 20.0922 90.00 90.00 90.00
Last column: nearest neighbours and their distance in Å.
Space group P4/mmm (No. 123)
One atom of each set of equivalent atoms:
La1 0.0000 0.0000 0.0000  4 La 3.62, 8 Y 3.69
Y1 0.5000 0.5000 0.1323  4 Ag 3.14
Y2 0.5000 0.5000 0.3150  8 Ag 3.16-3.17
Y3 0.5000 0.5000 0.5000  8 Ag 3.16
Ag1 0.0000 0.0000 0.2229  8 Y 3.14-3.16
Ag2 0.0000 0.0000 0.4080  8 Y 3.16-3.17

Computed properties:
* spin magnetization: 0.0 μB per formula unit
* electronic total energy: -51.22 eV per cell

=====

[13]
La3InGe2Pt9: relaxed, PBE.

Lattice parameters (Å, degrees): 5.7577 5.7577 12.0647 90.00 90.00 120.00
Last column: nearest neighbours and their distance in Å.
Space group P-3m1 (No. 164)
One atom of each set of equivalent atoms:
La1 0.0000 0.0000 0.0000  6 Pt 2.88
La2 0.3333 0.6667 0.7594  9 Pt 3.01-3.34
In1 0.0000 0.0000 0.5000  6 Pt 2.77
Ge1 0.3333 0.6667 0.1617  6 Pt 2.50-2.56
Pt1 0.0000 0.5000 0.0000  2 Ge 2.56
Pt2 0.1618 0.3236 0.3131  1 Ge 2.50, 1 In 2.77, 2 Pt 2.79

Computed properties:
* spin magnetization: 0.0 μB per formula unit
* electronic total energy: -92.17 eV per cell

=====

[14]
Pa3ZnNi2: relaxed, PBE.

Lattice parameters (Å, degrees): 7.5639 7.5639 15.4020 90.00 90.00 120.00
Last column: nearest neighbours and their distance in Å.
Space group R-3c (No. 167, hexagonal axes)
One atom of each set of equivalent atoms:
Pa1 0.0000 0.3098 0.2500  4 Ni 2.71-2.88, 2 Zn 2.91
Zn1 0.0000 0.0000 0.0000  2 Ni 2.50
Ni1 0.0000 0.0000 0.1621  1 Zn 2.50, 3 Pa 2.71, 1 Ni 2.71

Computed properties:
* spin magnetization: 0.0 μB per formula unit
* electronic total energy: -245.56 eV per cell

=====

[15]
CaAl2Te: relaxed, PBE.

Lattice parameters (Å, degrees): 4.0990 5.8934 4.5192 90.00 91.13 90.00
Last column: nearest neighbours and their distance in Å.
Space group P2/m (No. 10)
One atom of each set of equivalent atoms:
Ca1 0.0000 0.0000 0.0000  4 Te 3.02-3.08
Al1 0.3157 0.5000 0.7370  2 Al 2.65-2.79
Te1 0.5000 0.0000 0.5000  4 Ca 3.02-3.08, 4 Al 3.23

Computed properties:
* uncorrected formation energy: -0.225 eV/atom
* spin magnetization: 0.0 μB per formula unit
* electronic total energy: -13.53 eV per cell

=====

[16]
Cr3MoH: relaxed, PBE.

Lattice parameters (Å, degrees): 4.4684 4.4684 4.4684 90.00 90.00 90.00
Last column: nearest neighbours and their distance in Å.
Space group Pm-3m (No. 221)
One atom of each set of equivalent atoms:
Cr1 0.0000 0.0000 0.5000  2 Mo 2.23
Mo1 0.0000 0.0000 0.0000  6 Cr 2.23
H1 0.5000 0.5000 0.5000  12 Cr 3.16

Computed properties:
* spin magnetization: 0.0 μB per formula unit
* energy relative to the lowest polymorph listed for this composition: 2.1388 eV per atom
* electronic total energy: -31.15 eV per cell

=====

[17]
KNaUF6: relaxed, PBE.

Lattice parameters (Å, degrees): 5.5449 5.5449 11.2189 90.00 90.00 90.00
Last column: nearest neighbours and their distance in Å.
Space group P4_2nm (No. 102)
One atom of each set of equivalent atoms:
K1 0.0000 0.0000 0.0000  6 F 2.57-2.70
Na1 0.0000 0.0000 0.3264  6 F 2.39-2.48
U1 0.0000 0.0000 0.6642  6 F 2.19-2.20
F1 0.1732 0.1732 0.5111  1 U 2.19
F2 0.1971 0.1971 0.8022  1 U 2.19, 1 Na 2.39
F3 0.2196 0.2196 0.1770  1 U 2.20, 1 Na 2.40

Computed properties:
* uncorrected formation energy: -3.290 eV/atom
* spin magnetization: 2.0 μB per formula unit
* electronic total energy: -109.08 eV per cell

=====

[18]
K3Rb3Tl: relaxed, PBE.

Lattice parameters (Å, degrees): 13.2331 14.6222 10.5968 90.00 98.53 90.00
Last column: nearest neighbours and their distance in Å.
Space group C2/m (No. 12)
One atom of each set of equivalent atoms:
K1 0.1315 0.0000 0.3796  1 Tl 3.67
K2 0.2352 0.3488 0.2439  1 Tl 3.73
Rb1 0.0000 0.1659 0.0000  6 K 4.60-4.80, 1 Rb 4.85
Rb2 0.0000 0.2671 0.5000  2 Tl 3.74
Rb3 0.1100 0.5000 0.8361  2 Tl 3.87-4.04
Tl1 0.1051 0.5000 0.4537  1 Tl 3.08

Computed properties:
* spin magnetization: 0.0 μB per formula unit
* electronic total energy: -34.04 eV per cell

=====

[19]
La4Ho5Th: relaxed, PBE.

Lattice parameters (Å, degrees): 11.6912 5.5220 10.6645 90.00 90.20 90.00
Last column: nearest neighbours and their distance in Å.
Space group C2/m (No. 12)
One atom of each set of equivalent atoms:
La1 0.0570 0.0000 0.2509  1 La 3.24, 2 Ho 3.54-3.56
La2 0.1661 0.5000 0.7487  1 La 3.24, 5 Ho 3.28-3.42, 1 Th 3.32
Ho1 0.0000 0.5000 0.5000  2 La 3.28, 2 Ho 3.60
Ho2 0.1948 0.0000 0.9352  2 Ho 3.34, 5 La 3.42-3.74, 3 Th 3.63-3.65
Ho3 0.1989 0.0000 0.5684  5 Ho 3.35-3.68, 4 La 3.39-3.74
Th1 0.0000 0.5000 0.0000  2 La 3.32, 6 Ho 3.63-3.65

Computed properties:
* spin magnetization: 0.0 μB per formula unit
* energy relative to the lowest polymorph listed for this composition: 0.1647 eV per atom
* electronic total energy: -96.29 eV per cell

=====

[20]
LiCu2Ru: relaxed, PBE.

Lattice parameters (Å, degrees): 3.6709 3.6709 7.4679 90.00 90.00 90.00
Last column: nearest neighbours and their distance in Å.
Space group I-4m2 (No. 119)
One atom of each set of equivalent atoms:
Li1 0.0000 0.0000 0.0000  8 Cu 2.60-2.62, 4 Ru 2.62
Cu1 0.0000 0.0000 0.5000  4 Li 2.60, 4 Ru 2.62, 4 Cu 2.62
Cu2 0.0000 0.5000 0.2500  4 Ru 2.60, 4 Li 2.62, 4 Cu 2.62
Ru1 0.0000 0.5000 0.7500  8 Cu 2.60-2.62, 4 Li 2.62

Computed properties:
* spin magnetization: 0.8 μB per formula unit
* energy relative to the lowest polymorph listed for this composition: 0.2230 eV per atom
* electronic total energy: -36.69 eV per cell

=====

[21]
Sm3GaHg5: relaxed, PBE.

Lattice parameters (Å, degrees): 9.0305 9.0305 6.3882 90.00 90.00 120.00
Last column: nearest neighbours and their distance in Å.
Space group P6_3/mcm (No. 193)
One atom of each set of equivalent atoms:
Sm1 0.0000 0.3112 0.2500  5 Hg 3.01-3.22, 2 Ga 3.23
Ga1 0.0000 0.0000 0.0000  2 Ga 3.19, 6 Sm 3.23, 6 Hg 3.56
Hg1 0.0000 0.3518 0.7500  5 Sm 3.01-3.22, 4 Hg 3.34
Hg2 0.3333 0.6667 0.0000  8 Hg 3.19-3.34, 6 Sm 3.50

Computed properties:
* spin magnetization: 0.0 μB per formula unit
* electronic total energy: -45.27 eV per cell

=====

[22]
NaPmTlGe: relaxed, PBE.

Lattice parameters (Å, degrees): 7.4304 7.4304 7.4304 90.00 90.00 90.00
Last column: nearest neighbours and their distance in Å.
Space group F-43m (No. 216)
One atom of each set of equivalent atoms:
Na1 0.0000 0.0000 0.0000  4 Ge 3.22, 4 Tl 3.22
Pm1 0.0000 0.0000 0.5000  4 Tl 3.22, 4 Ge 3.22
Tl1 0.2500 0.2500 0.7500  4 Na 3.22, 4 Pm 3.22
Ge1 0.2500 0.2500 0.2500  4 Na 3.22, 4 Pm 3.22

Computed properties:
* spin magnetization: 0.0 μB per formula unit
* electronic total energy: -56.26 eV per cell

=====

[23]
Pr2PuSb3Pd4: relaxed, PBE.

Lattice parameters (Å, degrees): 4.5335 4.5335 11.5602 90.00 90.00 90.00
Last column: nearest neighbours and their distance in Å.
Space group P-4m2 (No. 115)
One atom of each set of equivalent atoms:
Pr1 0.0000 0.5000 0.2142  4 Sb 3.36, 8 Pd 3.36-3.58
Pu1 0.0000 0.0000 0.5000  4 Pd 2.84
Sb1 0.0000 0.5000 0.8716  5 Pd 2.59-2.71
Sb2 0.5000 0.5000 0.5000  4 Pd 2.84
Pd1 0.0000 0.0000 0.0000  4 Sb 2.71
Pd2 0.0000 0.5000 0.6477  3 Sb 2.59-2.84, 2 Pu 2.84
Pd3 0.5000 0.5000 0.0000  4 Sb 2.71

Computed properties:
* uncorrected formation energy: -0.797 eV/atom
* spin magnetization: 5.4 μB per formula unit
* electronic total energy: -65.00 eV per cell

=====

[24]
EuZr2Mn: relaxed, PBE.

Lattice parameters (Å, degrees): 7.0182 7.0182 7.0182 90.00 90.00 90.00
Last column: nearest neighbours and their distance in Å.
Space group Fm-3m (No. 225)
One atom of each set of equivalent atoms:
Eu1 0.0000 0.0000 0.0000  8 Zr 3.04
Zr1 0.2500 0.2500 0.2500  4 Mn 3.04, 4 Eu 3.04
Mn1 0.0000 0.0000 0.5000  8 Zr 3.04

Computed properties:
* spin magnetization: 5.5 μB per formula unit
* electronic total energy: -139.33 eV per cell